This record from Alexandria describes a geometry-optimized BaCdTcGe2 structure. The functional is PBE-GGA.

energy relative to the elements = 6.14 eV per formula unit
N(E_F) = 4.0 states/eV/f.u.
total moment = 0.6626 μB/atom
distance to the lowest polymorph of the same formula = 1.455 eV per atom
electronic total energy = -3.260 eV per atom

The structure in extended XYZ format:
```
5
Lattice="-1.6854 1.6311 4.5378 3.6029 -4.0914 2.8088 3.7744 3.4378 0.1661" Properties=species:S:1:pos:R:3 pbc="T T T"
Cd 0.0000 0.0000 0.0000
Ge 1.8872 1.7189 0.0831
Ba 1.8015 -2.0457 1.4044
Ge -0.8427 0.8156 2.2689
Tc 2.8460 0.4888 3.7564
```

=====

This record from Alexandria describes a geometry-optimized BaTiCd2Ge structure. The functional is PBE-GGA.

energy relative to the elements = 7.82 eV per formula unit
N(E_F) = 4.7 states/eV/f.u.
total moment = 0.0593 μB/atom
electronic total energy = -1.690 eV per atom

The structure in extended XYZ format:
```
5
Lattice="-0.2795 5.9105 -0.8132 -4.0231 -0.6613 -3.4238 -3.9021 0.4348 4.5010" Properties=species:S:1:pos:R:3 pbc="T T T"
Ti -2.0115 -0.3306 -1.7119
Cd -0.1397 2.9553 -0.4066
Ge -4.1023 2.8420 0.1320
Ba 0.0000 0.0000 0.0000
Cd -1.9510 0.2174 2.2505
```

=====

This record from Alexandria describes a geometry-optimized Ba2Tl3Cd4Ge structure. The functional is PBE-GGA.

energy relative to the elements = -2.49 eV per formula unit
N(E_F) = 4.1 states/eV/f.u.
total moment = 0.0000 μB/atom
electronic total energy = -2.172 eV per atom

The structure in extended XYZ format:
```
10
Lattice="5.0050 0.0000 0.0000 0.0000 5.0050 0.0000 0.0000 0.0000 12.0557" Properties=species:S:1:pos:R:3 pbc="T T T"
Ba 0.0000 2.5025 8.9494
Cd 2.5025 2.5025 0.0000
Ge 2.5025 2.5025 6.0278
Ba 2.5025 0.0000 3.1062
Cd 2.5025 0.0000 7.5187
Tl 2.5025 0.0000 10.4116
Tl 0.0000 0.0000 6.0278
Cd 0.0000 2.5025 4.5370
Tl 0.0000 2.5025 1.6440
Cd 0.0000 0.0000 0.0000
```

=====

This record from Alexandria describes a geometry-optimized Ba2TlCd3Ge4 structure. The functional is PBE-GGA.

energy relative to the elements = -2.83 eV per formula unit
N(E_F) = 4.9 states/eV/f.u.
total moment = 0.0000 μB/atom
electronic total energy = -3.026 eV per atom

The structure in extended XYZ format:
```
10
Lattice="4.8724 0.0000 0.0000 0.0000 4.8724 0.0000 0.0000 0.0000 11.3400" Properties=species:S:1:pos:R:3 pbc="T T T"
Ge 2.4362 2.4362 0.0000
Ba 2.4362 0.0000 2.7191
Cd 0.0000 2.4362 1.3893
Tl 2.4362 2.4362 5.6700
Cd 0.0000 0.0000 5.6700
Ba 0.0000 2.4362 8.6209
Ge 2.4362 0.0000 7.2404
Cd 2.4362 0.0000 9.9508
Ge 0.0000 2.4362 4.0997
Ge 0.0000 0.0000 0.0000
```